A:
Here is an optimized crystal structure of YC2 from the Alexandria database. Energies are from GGA-PBE.

Summary:
Calculated density ... 4.62 g/cm³
Total moment ... 0.000 μB per formula unit
Space-group type ... P4/mmm
N(E_F) ... 0.74 states/eV/f.u.

a = 3.289 Å, b = 3.289 Å, c = 3.748 Å
α = 90.00°, β = 90.00°, γ = 90.00°
Sites, in units of the cell vectors:
1 Y 0.000 0.000 0.000
2 C 0.000 0.500 0.500
3 C 0.500 0.000 0.500

B:
Here is an optimized crystal structure of YC2 from the Alexandria database. Energies are from GGA-PBE.

Summary:
Calculated density ... 3.93 g/cm³
Total moment ... 0.000 μB per formula unit
Space-group type ... P6_3/mmc
N(E_F) ... 0.71 states/eV/f.u.

a = 3.611 Å, b = 3.611 Å, c = 8.463 Å
α = 90.00°, β = 90.00°, γ = 120.00°
Sites, in units of the cell vectors:
1 Y 0.333 0.667 0.250
2 Y 0.667 0.333 0.750
3 C 0.000 0.000 0.076
4 C 0.000 0.000 0.424
5 C 0.000 0.000 0.576
6 C 0.000 0.000 0.924

What should be chosen as the least stable of them? Choose A.